Material: Th8Sb5Pb
Method: DFT, PBE
State: relaxed

Values from the calculation:
Magnetic moment in Bohr magnetons per cell: 0.00
Raw formation energy in eV per formula unit: -9.50

a = 8.252 Å, b = 8.252 Å, c = 8.252 Å
α = 109.48°, β = 109.46°, γ = 109.48°
Fractional positions:
Th (0.629, 0.896, 0.872)
Th (0.482, 0.605, 0.235)
Sb (0.375, 0.126, 0.996)
Sb (0.500, 0.000, 0.500)
Sb (0.004, 0.379, 0.130)
Th (0.267, 0.243, 0.371)
Sb (0.870, 0.874, 0.249)
Th (0.765, 0.247, 0.370)
Sb (0.751, 0.621, 0.625)
Th (0.630, 0.395, 0.876)
Th (0.128, 0.757, 0.024)
Pb (0.250, 0.500, 0.750)
Th (0.976, 0.104, 0.733)
Th (0.124, 0.753, 0.518)


Material: AcPOsF
Method: DFT, PBE
State: relaxed

Values from the calculation:
Magnetic moment in Bohr magnetons per cell: 0.00
Raw formation energy in eV per formula unit: -7.67

a = 4.112 Å, b = 4.112 Å, c = 8.783 Å
α = 90.00°, β = 90.00°, γ = 90.00°
Fractional positions:
P (0.000, 0.500, 0.863)
Os (0.500, 0.500, 0.000)
Ac (0.000, 0.500, 0.305)
Ac (0.500, 0.000, 0.695)
F (0.000, 0.000, 0.500)
F (0.500, 0.500, 0.500)
Os (0.000, 0.000, 0.000)
P (0.500, 0.000, 0.137)